Entry 1:
Material: ScMoSe2
Method: DFT, PBE-GGA
State: optimized geometry

Lattice parameters (Å, degrees): 4.9830 4.9830 4.6604 81.12 81.12 39.06
With the nearest neighbours (Å) after each atom.
Sites, in units of the cell vectors:
Se  0.9941  0.9941  0.0892  3 Sc 2.65-2.68, 4 Mo 2.78-2.96
Se  0.7597  0.7597  0.6694  3 Mo 2.63-2.75, 4 Sc 2.85-2.88
Sc  0.2671  0.2671  0.1712  7 Se 2.65-2.88, 1 Mo 2.94
Mo  0.4792  0.4792  0.5703  5 Se 2.63-2.78, 1 Sc 2.94

VASP energy	-6.67	eV/atom
ΔE_f (raw)	-637.3	meV/atom
M_tot	0.03	μB per formula unit

=====

Entry 2:
Material: CaLa2BiIr
Method: DFT, PBE-GGA
State: optimized geometry

Lattice parameters (Å, degrees): 5.4980 5.4980 5.6028 90.00 90.00 90.00
With the nearest neighbours (Å) after each atom.
Sites, in units of the cell vectors:
La  0.0000  0.5000  0.0000  2 Ir 2.75
La  0.5000  0.0000  0.0000  2 Ir 2.75
Ir  0.0000  0.0000  0.0000  4 La 2.75, 2 Ca 2.80
Bi  0.5000  0.5000  0.5000  4 Ca 3.89, 8 La 3.92
Ca  0.0000  0.0000  0.5000  2 Ir 2.80

VASP energy	-5.57	eV/atom
M_tot	0.00	μB per formula unit